Here is a relaxed structure of Fe2IrPt from Alexandria via LeMat-Bulk. Energies are from PBE-GGA.

Cell: 2.7038 2.7038 7.4519 Å, 90.00 90.00 90.00°
Positions (direct):
1 Fe 0.0000 0.0000 0.2443
2 Fe 0.0000 0.0000 0.7557
3 Ir 0.5000 0.5000 0.0000
4 Pt 0.5000 0.5000 0.5000

Values from the calculation:
- Spin magnetization: 5.71 μB per formula unit
- Energy above the most stable polymorph in this dataset: 0 meV/atom
- VASP energy: -8.07 eV per atom

Here is a relaxed structure of FeIrPt2 from Alexandria via LeMat-Bulk. Energies are from PBE-GGA.

Cell: 4.7709 4.7709 4.7612 Å, 100.35 100.35 33.44°
Positions (direct):
1 Fe 0.0000 0.0000 0.0000
2 Ir 0.2603 0.2603 0.7504
3 Pt 0.5066 0.5066 0.5097
4 Pt 0.7470 0.7470 0.2381

Values from the calculation:
- Spin magnetization: 3.61 μB per formula unit
- Energy above the most stable polymorph in this dataset: 42 meV/atom
- VASP energy: -7.42 eV per atom

Here is a relaxed structure of FeIrPt2 from Alexandria via LeMat-Bulk. Energies are from PBE-GGA.

Cell: 2.7350 3.9164 5.4759 Å, 90.00 90.00 90.00°
Positions (direct):
1 Fe 0.0000 0.0000 0.0000
2 Ir 0.0000 0.0000 0.5000
3 Pt 0.5000 0.5000 0.2478
4 Pt 0.5000 0.5000 0.7522

Values from the calculation:
- Spin magnetization: 3.59 μB per formula unit
- Energy above the most stable polymorph in this dataset: 58 meV/atom
- VASP energy: -7.41 eV per atom

| no. | E_form (eV per atom) |
| --- | --- |
| 1 | -0.112 |
| 2 | -0.073 |
| 3 | -0.058 |